No. 1
Entry from Alexandria via LeMat-Bulk: a relaxed NbPIO2 crystal (PBE).

a = 3.9322 Å, b = 3.9322 Å, c = 6.3663 Å
α = 90.00°, β = 90.00°, γ = 90.00°
Sites, in units of the cell vectors:
Nb1 0.0000 0.0000 0.0000
P1 0.5000 0.5000 0.5000
I1 0.0000 0.0000 0.5000
O1 0.0000 0.5000 0.0000
O2 0.5000 0.0000 0.0000

Values from the calculation:
Its crystal system is tetragonal. As for the symmetry: P4/mmm, No. 123. As for the energy above the most stable polymorph in this dataset: 347.1 meV/atom.

---

No. 2
Entry from Alexandria via LeMat-Bulk: a relaxed NbPdIO2 crystal (PBE).

a = 3.9321 Å, b = 3.9321 Å, c = 6.0769 Å
α = 90.00°, β = 90.00°, γ = 90.00°
Sites, in units of the cell vectors:
Nb1 0.0000 0.0000 0.0000
Pd1 0.5000 0.5000 0.5000
I1 0.0000 0.0000 0.5000
O1 0.0000 0.5000 0.0000
O2 0.5000 0.0000 0.0000

Values from the calculation:
Its crystal system is tetragonal. As for the symmetry: P4/mmm, No. 123. As for the energy above the most stable polymorph in this dataset: 0.0 meV/atom.

---

No. 3
Entry from Alexandria via LeMat-Bulk: a relaxed NbPdIO2 crystal (PBE).

a = 4.1164 Å, b = 4.1164 Å, c = 5.2242 Å
α = 90.00°, β = 90.00°, γ = 90.00°
Sites, in units of the cell vectors:
Nb1 0.0000 0.0000 0.0000
Pd1 0.5000 0.5000 0.5000
I1 0.5000 0.5000 0.0000
O1 0.0000 0.5000 0.5000
O2 0.5000 0.0000 0.5000

Values from the calculation:
Its crystal system is tetragonal. As for the symmetry: P4/mmm, No. 123. As for the energy above the most stable polymorph in this dataset: 1668.0 meV/atom.

---

No. 4
Entry from Alexandria via LeMat-Bulk: a relaxed PmNbIO4 crystal (PBE).

a = 7.1899 Å, b = 7.1899 Å, c = 7.1267 Å
α = 102.98°, β = 102.98°, γ = 55.03°
Sites, in units of the cell vectors:
Pm1 0.2084 0.2084 0.3383
Pm2 0.7916 0.7916 0.6617
Nb1 0.1249 0.1249 0.7466
Nb2 0.8751 0.8751 0.2534
I1 0.4709 0.4709 0.8058
I2 0.5291 0.5291 0.1942
O1 0.0248 0.0248 0.2995
O2 0.0363 0.6042 0.3785
O3 0.1858 0.1858 0.0115
O4 0.3958 0.9637 0.6215
O5 0.6042 0.0363 0.3785
O6 0.8142 0.8142 0.9885
O7 0.9637 0.3958 0.6215
O8 0.9752 0.9752 0.7005

Values from the calculation:
Its crystal system is monoclinic. Its electronic total energy is -0.56149 Ry/atom. As for the symmetry: C2/m, No. 12.